VASP calculation (GGA-PBE) on an optimized crystal structure of Cd2SiNi.

- Formation energy (no corrections): -0.1 eV/f.u.
- Fermi-level density of states: 0.42 states/eV per atom
- Size of the total moment: 0.00 μB per cell

Structure (POSCAR):
```
Cd2SiNi
1.0
-2.7878 2.7401 -1.6813
-3.6308 2.0199 0.9185
1.5878 6.5085 2.3177
Cd Ni Si
2 1 1
direct
0.0123 0.0123 0.0352
0.8128 0.8128 0.7159
0.4774 0.4774 0.3767
0.1976 0.1976 0.3723
```